## P
# CsRbNa2Tl | Alexandria via LeMat-Bulk | GGA-PBE | optimized geometry
# * magnetic moment: 0.000 μB per atom
data_CsRbNa2Tl
_symmetry_space_group_name_H-M 'P 4/m m m'
_symmetry_Int_Tables_number 123
_symmetry_space_group_name_Hall '-P 4 2'
_cell_length_a 6.398
_cell_length_b 6.398
_cell_length_c 7.162
_cell_angle_alpha 90.00
_cell_angle_beta 90.00
_cell_angle_gamma 90.00
loop_
_atom_site_label
_atom_site_fract_x
_atom_site_fract_y
_atom_site_fract_z
Cs1 0.000 0.000 0.000
Rb1 0.500 0.500 0.000
Na1 0.000 0.500 0.500
Tl1 0.000 0.000 0.500

---

## Q
# CsRbNa2Tl | Alexandria via LeMat-Bulk | GGA-PBE | optimized geometry
# * magnetic moment: 0.000 μB per atom
data_CsRbNa2Tl
_symmetry_space_group_name_H-M 'P 4/m m m'
_symmetry_Int_Tables_number 123
_symmetry_space_group_name_Hall '-P 4 2'
_cell_length_a 6.378
_cell_length_b 6.378
_cell_length_c 7.051
_cell_angle_alpha 90.00
_cell_angle_beta 90.00
_cell_angle_gamma 90.00
loop_
_atom_site_label
_atom_site_fract_x
_atom_site_fract_y
_atom_site_fract_z
Cs1 0.000 0.000 0.000
Rb1 0.500 0.500 0.000
Na1 0.000 0.500 0.500
Tl1 0.500 0.500 0.500

---

The calculated energies rank the structures as follows, beginning with the most stable: Q, P.

---

## P
# CsNa3Re | Alexandria via LeMat-Bulk | GGA-PBE | optimized geometry
# * magnetic moment: 0.803 μB per atom
data_CsNa3Re
_symmetry_space_group_name_H-M 'P m -3 m'
_symmetry_Int_Tables_number 221
_symmetry_space_group_name_Hall '-P 4 2 3'
_cell_length_a 6.387
_cell_length_b 6.387
_cell_length_c 6.387
_cell_angle_alpha 90.00
_cell_angle_beta 90.00
_cell_angle_gamma 90.00
loop_
_atom_site_label
_atom_site_fract_x
_atom_site_fract_y
_atom_site_fract_z
Cs1 0.000 0.000 0.000
Na1 0.000 0.000 0.500
Re1 0.500 0.500 0.500

---

## Q
# CsNa3Re | Alexandria via LeMat-Bulk | GGA-PBE | optimized geometry
# * magnetic moment: 0.823 μB per atom
data_CsNa3Re
_symmetry_space_group_name_H-M 'P m -3 m'
_symmetry_Int_Tables_number 221
_symmetry_space_group_name_Hall '-P 4 2 3'
_cell_length_a 6.131
_cell_length_b 6.131
_cell_length_c 6.131
_cell_angle_alpha 90.00
_cell_angle_beta 90.00
_cell_angle_gamma 90.00
loop_
_atom_site_label
_atom_site_fract_x
_atom_site_fract_y
_atom_site_fract_z
Cs1 0.000 0.000 0.000
Na1 0.000 0.500 0.500
Re1 0.500 0.500 0.500

---

The calculated energies rank the structures as follows, beginning with the most stable: Q, P.

---

## P
# CsNaRh | Alexandria via LeMat-Bulk | GGA-PBE | optimized geometry
# * magnetic moment: 0.000 μB per atom
data_CsNaRh
_symmetry_space_group_name_H-M 'C 1 m 1'
_symmetry_Int_Tables_number 8
_symmetry_space_group_name_Hall 'C -2y'
_cell_length_a 12.893
_cell_length_b 4.439
_cell_length_c 8.144
_cell_angle_alpha 90.00
_cell_angle_beta 93.97
_cell_angle_gamma 90.00
loop_
_atom_site_label
_atom_site_fract_x
_atom_site_fract_y
_atom_site_fract_z
Cs1 0.000 0.000 0.000
Cs2 0.248 0.500 0.247
Na1 0.120 0.000 0.610
Na2 0.392 0.000 0.633
Rh1 0.246 0.500 0.795
Rh2 0.265 0.000 0.908

---

## Q
# CsNaRh | Alexandria via LeMat-Bulk | GGA-PBE | optimized geometry
# * magnetic moment: 0.000 μB per atom
data_CsNaRh
_symmetry_space_group_name_H-M 'P 1'
_symmetry_Int_Tables_number 1
_symmetry_space_group_name_Hall 'P 1'
_cell_length_a 4.482
_cell_length_b 5.591
_cell_length_c 10.986
_cell_angle_alpha 75.47
_cell_angle_beta 86.42
_cell_angle_gamma 75.43
loop_
_atom_site_label
_atom_site_fract_x
_atom_site_fract_y
_atom_site_fract_z
Cs1 0.000 0.000 0.000
Cs2 0.500 0.294 0.404
Na1 0.159 0.736 0.609
Na2 0.659 0.645 0.794
Rh1 0.431 0.200 0.745
Rh2 0.931 0.242 0.659

---

## R
# CsNaRh | Alexandria via LeMat-Bulk | GGA-PBE | optimized geometry
# * magnetic moment: 0.000 μB per atom
data_CsNaRh
_symmetry_space_group_name_H-M 'P 1 21/m 1'
_symmetry_Int_Tables_number 11
_symmetry_space_group_name_Hall '-P 2yb'
_cell_length_a 5.694
_cell_length_b 4.526
_cell_length_c 10.275
_cell_angle_alpha 90.00
_cell_angle_beta 100.32
_cell_angle_gamma 90.00
loop_
_atom_site_label
_atom_site_fract_x
_atom_site_fract_y
_atom_site_fract_z
Cs1 0.195 0.250 0.299
Na1 0.377 0.250 0.903
Rh1 0.079 0.750 0.012

---

The calculated energies rank the structures as follows, beginning with the most stable: R, Q, P.

---

## P
# CsNaRh3 | Alexandria via LeMat-Bulk | GGA-PBE | optimized geometry
# * magnetic moment: 0.591 μB per atom
data_CsNaRh3
_symmetry_space_group_name_H-M 'P m -3 m'
_symmetry_Int_Tables_number 221
_symmetry_space_group_name_Hall '-P 4 2 3'
_cell_length_a 4.874
_cell_length_b 4.874
_cell_length_c 4.874
_cell_angle_alpha 90.00
_cell_angle_beta 90.00
_cell_angle_gamma 90.00
loop_
_atom_site_label
_atom_site_fract_x
_atom_site_fract_y
_atom_site_fract_z
Cs1 0.000 0.000 0.000
Na1 0.500 0.500 0.500
Rh1 0.000 0.500 0.500

---

## Q
# CsNaRh3 | Alexandria via LeMat-Bulk | GGA-PBE | optimized geometry
# * magnetic moment: 0.167 μB per atom
data_CsNaRh3
_symmetry_space_group_name_H-M 'P m -3 m'
_symmetry_Int_Tables_number 221
_symmetry_space_group_name_Hall '-P 4 2 3'
_cell_length_a 5.009
_cell_length_b 5.009
_cell_length_c 5.009
_cell_angle_alpha 90.00
_cell_angle_beta 90.00
_cell_angle_gamma 90.00
loop_
_atom_site_label
_atom_site_fract_x
_atom_site_fract_y
_atom_site_fract_z
Cs1 0.000 0.000 0.000
Na1 0.500 0.500 0.500
Rh1 0.000 0.000 0.500

---

The calculated energies rank the structures as follows, beginning with the most stable: P, Q.

---

## P
# CsNa3S | Alexandria via LeMat-Bulk | GGA-PBE | optimized geometry
# * magnetic moment: 0.000 μB per atom
data_CsNa3S
_symmetry_space_group_name_H-M 'P m -3 m'
_symmetry_Int_Tables_number 221
_symmetry_space_group_name_Hall '-P 4 2 3'
_cell_length_a 5.787
_cell_length_b 5.787
_cell_length_c 5.787
_cell_angle_alpha 90.00
_cell_angle_beta 90.00
_cell_angle_gamma 90.00
loop_
_atom_site_label
_atom_site_fract_x
_atom_site_fract_y
_atom_site_fract_z
Cs1 0.000 0.000 0.000
Na1 0.000 0.500 0.500
S1 0.500 0.500 0.500

---

## Q
# CsNa3S | Alexandria via LeMat-Bulk | GGA-PBE | optimized geometry
# * magnetic moment: 0.000 μB per atom
data_CsNa3S
_symmetry_space_group_name_H-M 'P m -3 m'
_symmetry_Int_Tables_number 221
_symmetry_space_group_name_Hall '-P 4 2 3'
_cell_length_a 6.481
_cell_length_b 6.481
_cell_length_c 6.481
_cell_angle_alpha 90.00
_cell_angle_beta 90.00
_cell_angle_gamma 90.00
loop_
_atom_site_label
_atom_site_fract_x
_atom_site_fract_y
_atom_site_fract_z
Cs1 0.000 0.000 0.000
Na1 0.000 0.000 0.500
S1 0.500 0.500 0.500

---

The calculated energies rank the structures as follows, beginning with the most stable: P, Q.

---

## P
# CsNa2S2 | Alexandria via LeMat-Bulk | GGA-PBE | optimized geometry
# * magnetic moment: 0.199 μB per atom
data_CsNa2S2
_symmetry_space_group_name_H-M 'I 4/m m m'
_symmetry_Int_Tables_number 139
_symmetry_space_group_name_Hall '-I 4 2'
_cell_length_a 4.835
_cell_length_b 4.835
_cell_length_c 11.981
_cell_angle_alpha 90.00
_cell_angle_beta 90.00
_cell_angle_gamma 90.00
loop_
_atom_site_label
_atom_site_fract_x
_atom_site_fract_y
_atom_site_fract_z
Cs1 0.000 0.000 0.000
Na1 0.000 0.500 0.250
S1 0.000 0.000 0.370

---

## Q
# CsNa2S2 | Alexandria via LeMat-Bulk | GGA-PBE | optimized geometry
# * magnetic moment: 0.000 μB per atom
data_CsNa2S2
_symmetry_space_group_name_H-M 'P 4/m b m'
_symmetry_Int_Tables_number 127
_symmetry_space_group_name_Hall '-P 4 2ab'
_cell_length_a 8.894
_cell_length_b 8.894
_cell_length_c 3.402
_cell_angle_alpha 90.00
_cell_angle_beta 90.00
_cell_angle_gamma 90.00
loop_
_atom_site_label
_atom_site_fract_x
_atom_site_fract_y
_atom_site_fract_z
Cs1 0.000 0.000 0.000
Na1 0.123 0.377 0.500
S1 0.160 0.660 0.000

---

The calculated energies rank the structures as follows, beginning with the most stable: P, Q.